(1)
A plane-wave DFT calculation with GGA-PBE was carried out for K3Np3TaS8 after structural relaxation.

```
K3Np3TaS8
1.0
3.9199 2.2631 7.5689
-3.9199 2.2631 7.5689
0.0000 -4.5263 7.5689
K Np Ta S
3 3 1 8
direct
0.0000 0.5000 0.5000
0.5000 0.0000 0.5000
0.5000 0.5000 0.0000
0.0000 0.0000 0.5000
0.0000 0.5000 0.0000
0.5000 0.0000 0.0000
0.5000 0.5000 0.5000
0.2351 0.2351 0.2351
0.2546 0.7180 0.7180
0.2820 0.2820 0.7454
0.2820 0.7454 0.2820
0.7180 0.2546 0.7180
0.7180 0.7180 0.2546
0.7454 0.2820 0.2820
0.7649 0.7649 0.7649
```

Calculated values
- symmetry = R-3m (166)
- total moment (Bohr magnetons per cell) = 13.02
- raw formation energy (eV per atom) = -1.31

(2)
A plane-wave DFT calculation with GGA-PBE was carried out for K2Np2TaS6 after structural relaxation.

```
K2Np2TaS6
1.0
3.3564 -5.7428 0.0000
3.3564 5.7428 0.0000
-2.2723 0.0000 7.5891
K Np Ta S
2 2 1 6
direct
0.1705 0.8295 0.0000
0.8295 0.1705 0.0000
0.3338 0.6662 0.5000
0.6662 0.3338 0.5000
0.0000 0.0000 0.5000
0.0669 0.3769 0.6943
0.2412 0.2412 0.3057
0.3769 0.0669 0.6943
0.6231 0.9331 0.3057
0.7588 0.7588 0.6943
0.9331 0.6231 0.3057
```

Calculated values
- symmetry = C2/m (12)
- total moment (Bohr magnetons per cell) = 9.03
- raw formation energy (eV per atom) = -1.27

(3)
A plane-wave DFT calculation with GGA-PBE was carried out for K3TbNp3S8 after structural relaxation.

```
K3TbNp3S8
1.0
4.0523 2.3396 7.4387
-4.0523 2.3396 7.4387
0.0000 -4.6792 7.4387
K Tb Np S
3 1 3 8
direct
0.0000 0.5000 0.5000
0.5000 0.0000 0.5000
0.5000 0.5000 0.0000
0.5000 0.5000 0.5000
0.0000 0.0000 0.5000
0.0000 0.5000 0.0000
0.5000 0.0000 0.0000
0.2299 0.7329 0.7329
0.2325 0.2325 0.2325
0.2671 0.2671 0.7701
0.2671 0.7701 0.2671
0.7329 0.2299 0.7329
0.7329 0.7329 0.2299
0.7675 0.7675 0.7675
0.7701 0.2671 0.2671
```

Calculated values
- symmetry = R-3m (166)
- total moment (Bohr magnetons per cell) = 11.00
- raw formation energy (eV per atom) = -1.52

(4)
A plane-wave DFT calculation with GGA-PBE was carried out for K3Tb3NpS8 after structural relaxation.

```
K3Tb3NpS8
1.0
4.0462 2.3361 7.4755
-4.0462 2.3361 7.4755
0.0000 -4.6722 7.4755
K Tb Np S
3 3 1 8
direct
0.0000 0.5000 0.5000
0.5000 0.0000 0.5000
0.5000 0.5000 0.0000
0.0000 0.0000 0.5000
0.0000 0.5000 0.0000
0.5000 0.0000 0.0000
0.5000 0.5000 0.5000
0.2336 0.2336 0.2336
0.2387 0.7283 0.7283
0.2717 0.2717 0.7613
0.2717 0.7613 0.2717
0.7283 0.2387 0.7283
0.7283 0.7283 0.2387
0.7613 0.2717 0.2717
0.7664 0.7664 0.7664
```

Calculated values
- symmetry = R-3m (166)
- total moment (Bohr magnetons per cell) = 3.00
- raw formation energy (eV per atom) = -1.77

(5)
A plane-wave DFT calculation with GGA-PBE was carried out for K2NpTeS2 after structural relaxation.

```
K2NpTeS2
1.0
5.2926 0.0000 0.0000
0.0000 5.2926 0.0000
0.0000 0.0000 6.5420
K Np Te S
2 1 1 2
direct
0.0000 0.0000 0.2319
0.0000 0.0000 0.7681
0.5000 0.5000 0.5000
0.5000 0.5000 0.0000
0.0000 0.5000 0.5000
0.5000 0.0000 0.5000
```

Calculated values
- symmetry = P4/mmm (123)
- total moment (Bohr magnetons per cell) = 3.00
- raw formation energy (eV per atom) = -1.09

(6)
A plane-wave DFT calculation with GGA-PBE was carried out for KNpTeS after structural relaxation.

```
KNpTeS
1.0
4.2410 0.0000 0.0000
-2.1205 3.6728 0.0000
0.0000 0.0000 24.3226
K Np Te S
3 3 3 3
direct
0.0000 0.0000 0.0000
0.3333 0.6667 0.6667
0.6667 0.3333 0.3333
0.0000 0.0000 0.1547
0.3333 0.6667 0.8213
0.6667 0.3333 0.4880
0.0000 0.0000 0.5668
0.3333 0.6667 0.2334
0.6667 0.3333 0.9001
0.0000 0.0000 0.7651
0.3333 0.6667 0.4318
0.6667 0.3333 0.0985
```

Calculated values
- symmetry = R3m (160)
- total moment (Bohr magnetons per cell) = 12.00
- raw formation energy (eV per atom) = -1.08